Record 1
Compound: YPuZr
Source: Alexandria via LeMat-Bulk
Functional: PBE
Structure: relaxed

Unit cell a=5.293 b=5.293 c=3.262 alpha=90.00 beta=90.00 gamma=120.00
Fractional coordinates of all 3 atoms:
Y  0.000  0.000  0.000
Pu  0.667  0.333  0.500
Zr  0.333  0.667  0.500

total magnetization	1.702	μB per atom
electronic total energy	-28.8	eV per cell
E_form	183	meV/atom
energy relative to the lowest polymorph listed for this composition	40	meV per atom
space group	P-6m2, No. 187

---

Record 2
Compound: Sr2GaPt2
Source: Alexandria via LeMat-Bulk
Functional: PBE
Structure: relaxed

Unit cell a=3.810 b=3.810 c=18.500 alpha=90.00 beta=90.00 gamma=90.00
Fractional coordinates of all 10 atoms:
Sr  0.000  0.000  0.116
Sr  0.000  0.000  0.884
Sr  0.500  0.500  0.384
Sr  0.500  0.500  0.616
Ga  0.000  0.000  0.500
Ga  0.500  0.500  0.000
Pt  0.000  0.500  0.250
Pt  0.000  0.500  0.750
Pt  0.500  0.000  0.250
Pt  0.500  0.000  0.750

total magnetization	0.000	μB per atom
electronic total energy	-41.0	eV per cell
E_form	-410	meV/atom
space group	I4/mmm, No. 139

---

Record 3
Compound: SiIrSe3
Source: Alexandria via LeMat-Bulk
Functional: PBE
Structure: relaxed

Unit cell a=4.673 b=4.673 c=4.673 alpha=90.00 beta=90.00 gamma=90.00
Fractional coordinates of all 5 atoms:
Si  0.000  0.000  0.000
Ir  0.500  0.500  0.500
Se  0.000  0.000  0.500
Se  0.000  0.500  0.000
Se  0.500  0.000  0.000

total magnetization	0.049	μB per atom
electronic total energy	-19.5	eV per cell
E_form (uncorrected)	1.049	eV per atom
energy relative to the lowest polymorph listed for this composition	306	meV per atom
space group	Pm-3m, No. 221

---

Record 4
Compound: CaCu2Te
Source: Alexandria via LeMat-Bulk
Functional: PBE
Structure: relaxed

Unit cell a=4.036 b=4.445 c=5.168 alpha=90.00 beta=90.00 gamma=90.00
Fractional coordinates of all 4 atoms:
Ca  0.000  0.000  0.000
Cu  0.500  0.500  0.230
Cu  0.500  0.500  0.770
Te  0.500  0.000  0.500

total magnetization	0.000	μB per atom
electronic total energy	-14.7	eV per cell
E_form (uncorrected)	-0.350	eV per atom
space group	Pmmm, No. 47

---

Record 5
Compound: BC5
Source: Alexandria via LeMat-Bulk
Functional: PBE
Structure: relaxed

Unit cell a=4.490 b=4.490 c=4.475 alpha=100.28 beta=100.28 gamma=120.08
Fractional coordinates of all 12 atoms:
B  0.083  0.083  0.246
B  0.917  0.917  0.754
C  0.109  0.760  0.310
C  0.240  0.891  0.690
C  0.268  0.601  0.813
C  0.399  0.732  0.187
C  0.451  0.451  0.302
C  0.549  0.549  0.698
C  0.601  0.268  0.813
C  0.732  0.399  0.187
C  0.760  0.109  0.310
C  0.891  0.240  0.690

total magnetization	0.000	μB per atom
electronic total energy	-102.4	eV per cell
E_form	263	meV/atom
energy relative to the lowest polymorph listed for this composition	54	meV per atom
space group	C2/m, No. 12

---

Record 6
Compound: Tl3Ag4Se4
Source: Alexandria via LeMat-Bulk
Functional: PBE
Structure: relaxed

Unit cell a=7.281 b=7.281 c=7.281 alpha=109.47 beta=109.47 gamma=109.47
Fractional coordinates of all 11 atoms:
Tl  0.000  0.500  0.500
Tl  0.500  0.000  0.500
Tl  0.500  0.500  0.000
Ag  0.000  0.000  0.717
Ag  0.000  0.717  0.000
Ag  0.283  0.283  0.283
Ag  0.717  0.000  0.000
Se  0.000  0.000  0.357
Se  0.000  0.357  0.000
Se  0.357  0.000  0.000
Se  0.643  0.643  0.643

total magnetization	0.000	μB per atom
electronic total energy	-34.1	eV per cell
E_form (uncorrected)	-0.154	eV per atom
energy relative to the lowest polymorph listed for this composition	17	meV per atom
space group	I-43m, No. 217

---

Repeat the third record exactly.
Compound: SiIrSe3
Source: Alexandria via LeMat-Bulk
Functional: PBE
Structure: relaxed

Unit cell a=4.673 b=4.673 c=4.673 alpha=90.00 beta=90.00 gamma=90.00
Fractional coordinates of all 5 atoms:
Si  0.000  0.000  0.000
Ir  0.500  0.500  0.500
Se  0.000  0.000  0.500
Se  0.000  0.500  0.000
Se  0.500  0.000  0.000

total magnetization	0.049	μB per atom
electronic total energy	-19.5	eV per cell
E_form (uncorrected)	1.049	eV per atom
energy relative to the lowest polymorph listed for this composition	306	meV per atom
space group	Pm-3m, No. 221

---

Q: The highest total magnetization belongs to which entry?
A: YPuZr

---

Q: What is the total magnetization in the first record?
A: 1.702 μB per atom